(1)
Density functional theory data (PBE) for an optimized crystal structure of YMn3Br.

Output
energy above the most stable polymorph in this dataset	0	meV/atom
formation energy (no corrections)	0.699	eV per atom

Cell: 4.584 4.584 4.584 Å, 90.00 90.00 90.00°
Space group Pm-3m (No. 221)
Symmetry-distinct sites (fractional):
Y1 0.000 0.000 0.000 [1 per cell]
Mn1 0.000 0.500 0.500 [3 per cell]
Br1 0.500 0.500 0.500 [1 per cell]

(2)
Density functional theory data (PBE) for an optimized crystal structure of HoHf2Sc.

Output
energy above the most stable polymorph in this dataset	0	meV/atom
formation energy	0.0883	eV per atom

Cell: 4.523 4.631 9.391 Å, 90.00 90.05 90.00°
Space group P2_1/m (No. 11)
Symmetry-distinct sites (fractional):
Ho1 0.000 0.250 0.137 [2 per cell]
Hf1 0.000 0.250 0.616 [2 per cell]
Hf2 0.500 0.250 0.388 [2 per cell]
Sc1 0.500 0.250 0.856 [2 per cell]